No. 1
Density functional theory data (PBE-GGA) for a relaxed structure of CsCd2Sb2.

```
CsCd2Sb2
1.0
-3.410 2.275 -3.291
-3.597 -3.637 1.213
-3.948 6.847 8.824
Cs Cd Sb
2 4 4
direct
0.500 0.000 0.251
0.000 0.500 0.749
0.500 0.500 0.500
0.000 0.000 0.500
0.000 0.500 0.127
0.500 0.000 0.873
0.000 0.500 0.374
0.500 0.000 0.626
0.500 0.500 0.000
0.000 0.000 0.000
```

Computed properties:
DOS(E_F) = 2.1 states/eV per cell
Magnetic moment = 0.00 μB/cell
Volume = 327.3 Å³/cell
Raw formation energy = -279.4 meV per atom
Polymorph energy (0 for the lowest one) = 0 meV per atom

No. 2
Density functional theory data (PBE-GGA) for a relaxed structure of Cs2CdSb.

```
Cs2CdSb
1.0
6.561 0.000 0.000
0.000 7.210 -2.213
0.000 0.404 7.531
Cs Cd Sb
4 2 2
direct
0.750 0.026 0.685
0.250 0.974 0.315
0.250 0.315 0.974
0.750 0.685 0.026
0.000 0.500 0.500
0.500 0.500 0.500
0.750 0.242 0.242
0.250 0.758 0.758
```

Computed properties:
DOS(E_F) = 7.4 states/eV per cell
Magnetic moment = 0.00 μB/cell
Volume = 362.1 Å³/cell
Raw formation energy = -261.8 meV per atom
Polymorph energy (0 for the lowest one) = 25 meV per atom

No. 3
Density functional theory data (PBE-GGA) for a relaxed structure of CsCd3Sb.

```
CsCd3Sb
1.0
5.936 0.000 0.000
0.000 5.936 0.000
0.000 0.000 5.936
Cs Sb Cd
1 1 3
direct
0.500 0.500 0.500
0.000 0.000 0.000
0.000 0.500 0.000
0.000 0.000 0.500
0.500 0.000 0.000
```

Computed properties:
DOS(E_F) = 1.4 states/eV per cell
Magnetic moment = 0.00 μB/cell
Volume = 209.1 Å³/cell
Raw formation energy = 74.8 meV per atom
Polymorph energy (0 for the lowest one) = 0 meV per atom

Q: raw formation energy of number 2 (Cs2CdSb)?
A: -261.8 meV per atom

Q: Among the records above, which one has the lowest DOS(E_F)?
A: CsCd3Sb

Repeat the second record exactly.
Density functional theory data (PBE-GGA) for a relaxed structure of Cs2CdSb.

```
Cs2CdSb
1.0
6.561 0.000 0.000
0.000 7.210 -2.213
0.000 0.404 7.531
Cs Cd Sb
4 2 2
direct
0.750 0.026 0.685
0.250 0.974 0.315
0.250 0.315 0.974
0.750 0.685 0.026
0.000 0.500 0.500
0.500 0.500 0.500
0.750 0.242 0.242
0.250 0.758 0.758
```

Computed properties:
DOS(E_F) = 7.4 states/eV per cell
Magnetic moment = 0.00 μB/cell
Volume = 362.1 Å³/cell
Raw formation energy = -261.8 meV per atom
Polymorph energy (0 for the lowest one) = 25 meV per atom